Here is a relaxed Al2Pt4Rh crystal from Alexandria. Energies are from PBE.

Cell lengths 5.430, 3.722, 5.444 Å; angles 90.00, 96.98, 90.00 degrees
Sites, in units of the cell vectors:
Al 0.231 0.000 0.269
Al 0.769 0.000 0.731
Pt 0.000 0.500 0.000
Pt 0.299 0.000 0.799
Pt 0.500 0.500 0.500
Pt 0.701 0.000 0.201
Rh 0.000 0.500 0.500

Crystal system = monoclinic
Calculated total energy = -6.195 eV per atom
Calculated formation energy = -0.62 eV per atom
Space-group type = P2/m
Calculated volume = 109 Å³/cell

=====

Here is a relaxed ScCoCuPb crystal from Alexandria. Energies are from PBE.

Cell lengths 4.546, 4.546, 4.546 Å; angles 60.00, 60.00, 60.00 degrees
Sites, in units of the cell vectors:
Sc 0.000 0.000 0.000
Co 0.750 0.750 0.750
Cu 0.250 0.250 0.250
Pb 0.500 0.500 0.500

Crystal system = cubic
Calculated total energy = -5.367 eV per atom
Calculated formation energy = -0.06 eV per atom
Space-group type = F-43m
Calculated volume = 66 Å³/cell

=====

Here is a relaxed NbOs2Ru2 crystal from Alexandria. Energies are from PBE.

Cell lengths 7.454, 7.454, 2.777 Å; angles 90.00, 90.00, 90.00 degrees
Sites, in units of the cell vectors:
Nb 0.000 0.000 0.000
Nb 0.500 0.500 0.000
Os 0.124 0.376 0.000
Os 0.376 0.876 0.000
Os 0.624 0.124 0.000
Os 0.876 0.624 0.000
Ru 0.172 0.672 0.500
Ru 0.328 0.172 0.500
Ru 0.672 0.828 0.500
Ru 0.828 0.328 0.500

Crystal system = tetragonal
Calculated total energy = -10.130 eV per atom
Calculated formation energy = 0.09 eV per atom
Space-group type = P4/mbm
Calculated volume = 154 Å³/cell

=====

Here is a relaxed Cr3HW crystal from Alexandria. Energies are from PBE.

Cell lengths 3.775, 3.775, 3.775 Å; angles 90.00, 90.00, 90.00 degrees
Sites, in units of the cell vectors:
Cr 0.000 0.000 0.500
Cr 0.000 0.500 0.000
Cr 0.500 0.000 0.000
H 0.000 0.000 0.000
W 0.500 0.500 0.500

Crystal system = cubic
Calculated total energy = -8.784 eV per atom
Space-group type = Pm-3m
Calculated volume = 54 Å³/cell